# 1
A relaxed structure of Li2TlHgF8. Source: the Alexandria database, functional PBE-GGA.

Values from the calculation:
raw formation energy	-1.944	eV/atom
crystal system	tetragonal

a b c (Å): 6.026 6.026 6.026
angles (deg): 110.72 110.72 107.01
Last column: magnetic moment on the atom in μB.
Fractional coordinates of all 12 atoms:
Li 0.750 0.250 0.500  0.00
Li 0.500 0.500 0.000  0.00
Tl 0.000 0.000 0.000  0.00
Hg 0.250 0.750 0.500  0.18
F 0.369 0.061 0.309  0.01
F 0.298 0.486 0.187  0.10
F 0.298 0.111 0.813  0.10
F 0.752 0.061 0.691  0.01
F 0.889 0.702 0.187  0.10
F 0.939 0.248 0.309  0.01
F 0.939 0.631 0.691  0.01
F 0.514 0.702 0.813  0.10


# 2
A relaxed structure of Sc4Mn4Si7. Source: the Alexandria database, functional PBE-GGA.

Values from the calculation:
raw formation energy	-0.658	eV/atom
crystal system	tetragonal

a b c (Å): 9.634 9.634 9.634
angles (deg): 94.00 94.00 149.39
Last column: magnetic moment on the atom in μB.
Fractional coordinates of all 30 atoms:
Sc 0.801 0.000 0.801  -0.07
Sc 0.199 0.000 0.199  -0.07
Sc 0.000 0.199 0.199  -0.07
Sc 0.000 0.801 0.801  -0.07
Sc 0.640 0.360 0.000  -0.07
Sc 0.360 0.640 0.000  -0.07
Sc 0.360 0.360 0.721  -0.07
Sc 0.640 0.640 0.279  -0.07
Mn 0.602 0.398 0.500  1.22
Mn 0.398 0.602 0.500  1.22
Mn 0.898 0.102 0.500  1.22
Mn 0.398 0.898 0.796  1.22
Mn 0.102 0.898 0.500  1.22
Mn 0.602 0.102 0.204  1.22
Mn 0.102 0.602 0.204  1.22
Mn 0.898 0.398 0.796  1.22
Si 0.590 0.000 0.590  -0.05
Si 0.410 0.000 0.410  -0.05
Si 0.000 0.410 0.410  -0.05
Si 0.000 0.590 0.590  -0.05
Si 0.751 0.751 0.000  0.01
Si 0.249 0.249 0.000  0.01
Si 0.798 0.500 0.298  -0.04
Si 0.202 0.500 0.702  -0.04
Si 0.500 0.202 0.702  -0.04
Si 0.500 0.798 0.298  -0.04
Si 0.790 0.210 0.000  -0.04
Si 0.210 0.790 0.000  -0.04
Si 0.210 0.210 0.419  -0.04
Si 0.790 0.790 0.581  -0.04


# 3
A relaxed structure of CeGa4NiAu2. Source: the Alexandria database, functional PBE-GGA.

Values from the calculation:
energy of formation from the pure elements	-0.37	eV/atom
crystal system	trigonal

a b c (Å): 4.377 4.377 9.113
angles (deg): 76.10 76.10 60.00
Last column: magnetic moment on the atom in μB.
Fractional coordinates of all 8 atoms:
Ce 0.000 0.000 0.000  0.63
Ga 0.401 0.401 0.798  0.00
Ga 0.865 0.865 0.406  0.01
Ga 0.135 0.135 0.594  0.01
Ga 0.599 0.599 0.202  0.00
Ni 0.500 0.500 0.500  0.03
Au 0.755 0.755 0.734  0.01
Au 0.245 0.245 0.266  0.01


| no. | VASP energy (eV/atom) |
| --- | --- |
| 1 | -3.73 |
| 2 | -7.32 |
| 3 | -4.17 |